1.
Material: ErSc2Au
Method: DFT, PBE
State: optimized geometry

abc: 3.5128 3.5128 9.5987
angles: 79.46 79.46 60.00
Each line ends with the local moment (μB).
Fractional positions:
Sc 0.2630 0.2630 0.2111  0.03
Sc 0.0700 0.0700 0.7901  0.11
Au 0.6658 0.6658 0.0027  0.01
Er 0.5013 0.5013 0.4962  0.18

Calculated formation energy: -0.239 eV/atom
Relative energy among the computed polymorphs: 0.1927 eV/atom
Space group: R3m (160)


2.
Material: Er4ScAu5
Method: DFT, PBE
State: optimized geometry

abc: 3.5112 3.5112 17.9231
angles: 90.00 90.00 90.00
Fractional positions:
Au 0.5000 0.5000 0.7037
Au 0.5000 0.5000 0.2963
Au 0.5000 0.5000 0.0903
Au 0.5000 0.5000 0.9097
Au 0.5000 0.5000 0.5000
Sc 0.0000 0.0000 0.0000
Er 0.0000 0.0000 0.6019
Er 0.0000 0.0000 0.1947
Er 0.0000 0.0000 0.8053
Er 0.0000 0.0000 0.3981

Calculated formation energy: -0.864 eV/atom
Space group: P4/mmm (123)


3.
Material: ErScAu
Method: DFT, PBE
State: optimized geometry

abc: 7.1972 8.6248 8.6248
angles: 66.79 65.34 65.34
Fractional positions:
Au 0.4199 0.8334 0.8334
Au 0.0866 0.1666 0.1666
Au 0.7533 0.2500 0.7500
Au 0.7532 0.7500 0.2500
Au 0.0866 0.6666 0.6666
Au 0.4199 0.3334 0.3334
Er 0.7536 0.9550 0.4550
Er 0.3430 0.2500 0.7500
Er 0.7537 0.4549 0.9549
Er 0.3431 0.7500 0.2500
Er 0.1635 0.0450 0.5450
Er 0.1635 0.5451 0.0451
Sc 0.4982 0.1276 0.1276
Sc 0.4982 0.6276 0.6276
Sc 0.0082 0.0000 0.0000
Sc 0.7534 0.8724 0.8724
Sc 0.0082 0.5000 0.5000
Sc 0.7534 0.3724 0.3724

Calculated formation energy: -0.645 eV/atom
Relative energy among the computed polymorphs: 0.0000 eV/atom
Space group: P-62m (189)


4.
Material: Er2ScAu3
Method: DFT, PBE
State: optimized geometry

abc: 3.4937 3.4937 10.6538
angles: 90.00 90.00 90.00
Fractional positions:
Sc 0.5000 0.5000 0.5000
Er 0.5000 0.5000 0.1715
Er 0.5000 0.5000 0.8285
Au 0.0000 0.0000 0.3467
Au 0.0000 0.0000 0.6533
Au 0.0000 0.0000 0.0000

Calculated formation energy: -0.853 eV/atom
Relative energy among the computed polymorphs: 0.0000 eV/atom
Space group: P4/mmm (123)


5.
Material: ErSc2Au
Method: DFT, PBE
State: optimized geometry

abc: 5.0182 5.0182 5.0192
angles: 60.01 60.01 60.00
Each line ends with the local moment (μB).
Fractional positions:
Sc 0.2499 0.2499 0.2503  0.14
Sc 0.7501 0.7501 0.7497  0.14
Er 0.0000 0.0000 0.0000  0.19
Au 0.5000 0.5000 0.5000  0.01

Calculated formation energy: -0.167 eV/atom
Relative energy among the computed polymorphs: 0.2651 eV/atom
Space group: Fm-3m (225)


6.
Material: Er2ScAu
Method: DFT, PBE
State: optimized geometry

abc: 3.5947 3.5947 9.7986
angles: 79.43 79.43 60.00
Each line ends with the local moment (μB).
Fractional positions:
Er 0.2593 0.2593 0.2220  0.03
Er 0.0740 0.0740 0.7778  0.04
Sc 0.5003 0.5003 0.4990  0.10
Au 0.6663 0.6663 0.0011  0.00

Calculated formation energy: -0.257 eV/atom
Relative energy among the computed polymorphs: 0.1317 eV/atom
Space group: R3m (160)


7.
Material: ErScAu
Method: DFT, PBE
State: optimized geometry

abc: 3.6509 4.7441 4.7441
angles: 120.00 90.00 90.00
Fractional positions:
Er 0.6269 0.6667 0.3333
Au 0.2744 0.3333 0.6667
Sc 0.0988 0.0000 0.0000

Calculated formation energy: -0.440 eV/atom
Relative energy among the computed polymorphs: 0.2048 eV/atom
Space group: P3m1 (156)


8.
Material: Er2ScAu
Method: DFT, PBE
State: optimized geometry

abc: 3.7905 5.0716 5.0716
angles: 90.00 90.00 90.00
Fractional positions:
Au 0.5000 0.0000 0.0000
Er 0.0000 0.5000 0.0000
Er 0.0000 0.0000 0.5000
Sc 0.5000 0.5000 0.5000

Calculated formation energy: -0.305 eV/atom
Relative energy among the computed polymorphs: 0.0841 eV/atom
Space group: P4/mmm (123)


9.
Material: ErScTcAu
Method: DFT, PBE
State: optimized geometry

abc: 4.7946 4.7946 4.7946
angles: 60.00 60.00 60.00
Fractional positions:
Sc 0.2500 0.2500 0.2500
Au 0.0000 0.0000 0.0000
Er 0.7500 0.7500 0.7500
Tc 0.5000 0.5000 0.5000

Calculated formation energy: -0.431 eV/atom
Space group: F-43m (216)


10.
Material: ErScTlAu
Method: DFT, PBE
State: optimized geometry

abc: 3.5193 3.5193 7.4528
angles: 90.00 90.00 90.00
Fractional positions:
Er 0.0000 0.0000 0.8372
Sc 0.0000 0.0000 0.3792
Au 0.5000 0.5000 0.5900
Tl 0.5000 0.5000 0.1216

Calculated formation energy: -0.573 eV/atom
Relative energy among the computed polymorphs: 0.0000 eV/atom
Space group: P4mm (99)


11.
Material: ErScTlAu
Method: DFT, PBE
State: optimized geometry

abc: 5.0786 5.0786 5.0786
angles: 60.00 60.00 60.00
Fractional positions:
Er 0.7500 0.7500 0.7500
Sc 0.2500 0.2500 0.2500
Tl 0.5000 0.5000 0.5000
Au 0.0000 0.0000 0.0000

Calculated formation energy: -0.531 eV/atom
Relative energy among the computed polymorphs: 0.0417 eV/atom
Space group: F-43m (216)


12.
Material: Er4AuSe5
Method: DFT, PBE
State: optimized geometry

abc: 4.0045 8.6873 9.0978
angles: 106.31 102.71 90.00
Fractional positions:
Se 0.5000 0.5000 0.0000
Se 0.8391 0.1369 0.6782
Se 0.1609 0.8631 0.3218
Se 0.8388 0.6841 0.6775
Se 0.1612 0.3159 0.3225
Er 0.9968 0.7272 0.9935
Er 0.3204 0.8907 0.6408
Er 0.6796 0.1093 0.3592
Er 0.0032 0.2728 0.0065
Au 0.5000 0.0000 0.0000

Raw total energy: -5.420 eV per atom
Space group: C2/m (12)